(1)
# CaLa2Be

An optimized crystal structure of CaLa2Be (GGA-PBE, Alexandria).

```
CaLa2Be
1.0
3.709 0.002 0.000
-0.003 3.709 0.000
0.000 0.000 9.279
Be Ca La
1 1 2
direct
0.500 0.500 0.250
0.500 0.500 0.750
0.000 0.000 0.080
0.000 0.000 0.420
```

The value obtained for the formation energy is 0.50 eV/f.u. Its space group is P4/mmm. As for the mass density: 4.3 Mg/m³.

(2)
# CaLa2Be

An optimized crystal structure of CaLa2Be (GGA-PBE, Alexandria).

```
CaLa2Be
1.0
8.864 0.000 0.000
0.000 8.864 0.000
4.432 4.432 3.220
Be Ca La
2 2 4
direct
0.500 0.500 0.000
0.250 0.750 0.500
0.000 0.000 0.000
0.750 0.250 0.500
0.564 0.125 0.250
0.186 0.625 0.250
0.375 0.436 0.750
0.875 0.814 0.750
```

The value obtained for the formation energy is 1.47 eV/f.u. Its space group is I-42d. As for the mass density: 4.3 Mg/m³.

(3)
# CaLa4Be

An optimized crystal structure of CaLa4Be (GGA-PBE, Alexandria).

```
CaLa4Be
1.0
0.000 4.701 4.701
4.701 0.000 4.701
4.701 4.701 0.000
Ca La Be
1 4 1
direct
0.000 0.000 0.000
0.865 0.378 0.378
0.378 0.378 0.865
0.378 0.865 0.378
0.378 0.378 0.378
0.750 0.750 0.750
```

The value obtained for the formation energy is 3.48 eV/f.u. Its space group is F-43m. As for the mass density: 4.8 Mg/m³.

(4)
# CaLaBe3

An optimized crystal structure of CaLaBe3 (GGA-PBE, Alexandria).

```
CaLaBe3
1.0
-3.865 0.978 3.211
0.777 -4.503 2.307
3.265 2.229 3.251
Be Ca La
3 1 1
direct
0.000 0.500 0.000
0.000 0.000 0.500
0.500 0.000 0.000
0.500 0.500 0.500
0.000 0.000 0.000
```

The value obtained for the formation energy is 6.74 eV/f.u. Its space group is Pm-3m. As for the mass density: 2.6 Mg/m³.

(5)
# CaLa2Be

An optimized crystal structure of CaLa2Be (GGA-PBE, Alexandria).

```
CaLa2Be
1.0
4.827 0.000 0.000
0.000 3.901 0.037
0.000 2.242 6.561
Be Ca La
1 1 2
direct
0.500 0.250 0.250
0.500 0.750 0.750
0.000 0.059 0.044
0.000 0.441 0.456
```

The value obtained for the formation energy is 1.23 eV/f.u. Its space group is P2/m. As for the mass density: 4.4 Mg/m³.

(6)
# CaLaBe4

An optimized crystal structure of CaLaBe4 (GGA-PBE, Alexandria).

```
CaLaBe4
1.0
0.000 3.675 3.675
3.675 0.000 3.675
3.675 3.675 0.000
Ca La Be
1 1 4
direct
0.750 0.750 0.750
0.000 0.000 0.000
0.367 0.900 0.367
0.900 0.367 0.367
0.367 0.367 0.900
0.367 0.367 0.367
```

The value obtained for the formation energy is 1.67 eV/f.u. Its space group is F-43m. As for the mass density: 3.6 Mg/m³.

(7)
# Ca3LaBe

An optimized crystal structure of Ca3LaBe (GGA-PBE, Alexandria).

```
Ca3LaBe
1.0
5.782 0.000 0.000
0.000 5.782 0.000
0.000 0.000 5.782
Be Ca La
1 3 1
direct
0.500 0.500 0.500
0.000 0.500 0.000
0.000 0.000 0.500
0.500 0.000 0.000
0.000 0.000 0.000
```

The value obtained for the formation energy is 6.96 eV/f.u. Its space group is Pm-3m. As for the mass density: 2.3 Mg/m³.

(8)
# CaLa2Be

An optimized crystal structure of CaLa2Be (GGA-PBE, Alexandria).

```
CaLa2Be
1.0
3.942 0.000 0.000
0.000 5.447 0.000
0.000 0.000 5.555
Be Ca La
1 1 2
direct
0.500 0.000 0.500
0.000 0.500 0.500
0.000 0.000 0.000
0.500 0.500 0.000
```

The value obtained for the formation energy is 1.66 eV/f.u. Its space group is Pmmm. As for the mass density: 4.6 Mg/m³.

(9)
# CaLa2Be

An optimized crystal structure of CaLa2Be (GGA-PBE, Alexandria).

```
CaLa2Be
1.0
-0.207 -6.053 1.131
3.936 -3.285 -3.418
0.502 5.032 3.520
Be Ca La
1 1 2
direct
0.500 0.500 0.000
0.750 0.250 0.500
0.000 0.000 0.000
0.250 0.750 0.500
```

The value obtained for the formation energy is 1.51 eV/f.u. Its space group is I-4m2. As for the mass density: 4.6 Mg/m³.

(10)
# CaLaBe

An optimized crystal structure of CaLaBe (GGA-PBE, Alexandria).

```
CaLaBe
1.0
4.981 0.000 0.000
-2.491 4.314 0.000
0.000 0.000 3.884
Be Ca La
1 1 1
direct
0.000 0.000 0.049
0.667 0.333 0.239
0.333 0.667 0.712
```

The value obtained for the formation energy is 1.25 eV/f.u. Its space group is P3m1. As for the mass density: 3.7 Mg/m³.

(11)
# CaLaBe

An optimized crystal structure of CaLaBe (GGA-PBE, Alexandria).

```
CaLaBe
1.0
-0.565 -2.212 4.476
1.860 -4.602 0.781
3.973 -0.626 3.012
Be Ca La
1 1 1
direct
0.750 0.750 0.750
0.000 0.000 0.000
0.500 0.500 0.500
```

The value obtained for the formation energy is 0.98 eV/f.u. Its space group is F-43m. As for the mass density: 3.5 Mg/m³.

(12)
# CaLa2Be

An optimized crystal structure of CaLa2Be (GGA-PBE, Alexandria).

```
CaLa2Be
1.0
-2.547 -1.776 -1.828
-0.268 -2.393 2.698
-6.810 2.855 6.713
Be Ca La
1 1 2
direct
0.000 0.505 0.495
0.500 0.818 0.682
0.000 0.988 0.013
0.500 0.189 0.310
```

The value obtained for the formation energy is 0.72 eV/f.u. Its space group is Pmm2. As for the mass density: 4.5 Mg/m³.

(13)
# CaLa2Be

An optimized crystal structure of CaLa2Be (GGA-PBE, Alexandria).

```
CaLa2Be
1.0
11.091 0.016 0.010
10.454 3.705 0.010
10.454 1.806 3.235
Be Ca La
1 1 2
direct
0.750 0.750 0.750
0.250 0.250 0.250
0.022 0.022 0.022
0.478 0.478 0.478
```

The value obtained for the formation energy is 1.01 eV/f.u. Its space group is R-3m. As for the mass density: 4.1 Mg/m³.

(14)
# Ca3LaBe

An optimized crystal structure of Ca3LaBe (GGA-PBE, Alexandria).

```
Ca3LaBe
1.0
-0.124 3.305 4.567
2.619 -4.012 2.975
4.993 2.186 -1.446
Be Ca La
1 3 1
direct
0.000 0.000 0.000
0.000 0.500 0.000
0.000 0.000 0.500
0.500 0.000 0.000
0.500 0.500 0.500
```

The value obtained for the formation energy is 1.69 eV/f.u. Its space group is Pm-3m. As for the mass density: 2.5 Mg/m³.

(15)
# CaLa2Be

An optimized crystal structure of CaLa2Be (GGA-PBE, Alexandria).

```
CaLa2Be
1.0
-0.075 2.745 -2.707
-3.368 -3.176 -3.127
-7.222 -0.321 -0.125
Be Ca La
1 1 2
direct
0.500 0.500 0.500
0.000 0.000 0.500
0.000 0.000 0.000
0.500 0.500 0.000
```

The value obtained for the formation energy is 1.66 eV/f.u. Its space group is P2/m. As for the mass density: 4.5 Mg/m³.

(16)
# CaLa2Be

An optimized crystal structure of CaLa2Be (GGA-PBE, Alexandria).

```
CaLa2Be
1.0
-2.523 -4.582 4.551
-0.174 -6.418 2.617
3.154 -0.623 4.422
Be Ca La
1 1 2
direct
0.750 0.750 0.750
0.250 0.250 0.250
0.049 0.049 0.952
0.451 0.451 0.548
```

The value obtained for the formation energy is 0.83 eV/f.u. Its space group is C2/m. As for the mass density: 4.6 Mg/m³.

(17)
# CaLaBe

An optimized crystal structure of CaLaBe (GGA-PBE, Alexandria).

```
CaLaBe
1.0
7.172 -0.004 0.005
6.289 3.447 -0.002
0.883 0.231 3.444
Be Ca La
1 1 1
direct
0.002 0.002 0.998
0.370 0.370 0.630
0.628 0.628 0.372
```

The value obtained for the formation energy is 0.61 eV/f.u. Its space group is I4mm. As for the mass density: 3.7 Mg/m³.

(18)
# CaLa2Be2N4

An optimized crystal structure of CaLa2Be2N4 (GGA-PBE, Alexandria).

```
CaLa2Be2N4
1.0
-0.125 -2.328 -2.268
6.002 0.314 -0.653
-1.390 -3.143 5.635
Ca La Be N
1 2 2 4
direct
0.000 0.000 0.000
0.134 0.582 0.269
0.866 0.418 0.731
0.681 0.990 0.363
0.319 0.010 0.637
0.213 0.156 0.425
0.787 0.844 0.575
0.551 0.759 0.102
0.449 0.241 0.898
```

Its space group is C2/m. Its uncorrected formation energy is -8.97 eV/f.u. As for the mass density: 5.5 Mg/m³.

(19)
# CaLaBeRh2

An optimized crystal structure of CaLaBeRh2 (GGA-PBE, Alexandria).

```
CaLaBeRh2
1.0
-2.421 -3.393 -2.690
3.332 -3.737 1.715
-2.999 -0.909 3.846
Be Ca Rh La
1 1 2 1
direct
0.000 0.500 0.000
0.500 0.500 0.500
0.000 0.000 0.500
0.500 0.000 0.000
0.000 0.000 0.000
```

The value obtained for the formation energy is 3.26 eV/f.u. Its space group is P4/mmm. As for the mass density: 5.0 Mg/m³.

(20)
# CaLaBe2Ru

An optimized crystal structure of CaLaBe2Ru (GGA-PBE, Alexandria).

```
CaLaBe2Ru
1.0
-4.593 -2.159 1.150
-0.111 -2.067 -4.323
2.444 -4.169 1.931
Ru Ca Be La
1 1 2 1
direct
0.000 0.500 0.000
0.500 0.500 0.500
0.000 0.000 0.500
0.500 0.000 0.000
0.000 0.000 0.000
```

The value obtained for the formation energy is 6.02 eV/f.u. Its space group is P4/mmm. As for the mass density: 3.8 Mg/m³.

(21)
# Ca2LaBeSi

An optimized crystal structure of Ca2LaBeSi (GGA-PBE, Alexandria).

```
Ca2LaBeSi
1.0
5.794 0.000 0.000
0.000 4.316 0.000
0.000 0.000 5.794
Be Ca Si La
1 2 1 1
direct
0.000 0.500 0.000
0.000 0.000 0.500
0.500 0.000 0.000
0.000 0.000 0.000
0.500 0.500 0.500
```

Its space group is P4/mmm. Its uncorrected formation energy is 1.46 eV/f.u. As for the mass density: 2.9 Mg/m³.

(22)
# CaLa2YBe

An optimized crystal structure of CaLa2YBe (GGA-PBE, Alexandria).

```
CaLa2YBe
1.0
-1.165 -5.616 0.969
5.672 -1.013 0.951
-0.746 1.131 5.657
Y Be Ca La
1 1 1 2
direct
0.000 0.000 0.000
0.500 0.500 0.500
0.000 0.500 0.000
0.000 0.000 0.500
0.500 0.000 0.000
```

The value obtained for the formation energy is 5.76 eV/f.u. Its space group is P4/mmm. As for the mass density: 3.5 Mg/m³.

(23)
# CaLaBeZn

An optimized crystal structure of CaLaBeZn (GGA-PBE, Alexandria).

```
CaLaBeZn
1.0
-5.075 0.905 0.188
-3.116 -2.031 -3.575
-3.252 -3.798 1.270
Be Zn Ca La
1 1 1 1
direct
0.750 0.750 0.750
0.250 0.250 0.250
0.000 0.000 0.000
0.500 0.500 0.500
```

The value obtained for the formation energy is -0.02 eV/f.u. Its space group is F-43m. As for the mass density: 4.3 Mg/m³.

(24)
# LiCa2Be

An optimized crystal structure of LiCa2Be (GGA-PBE, Alexandria).

```
LiCa2Be
1.0
8.282 0.000 0.000
0.000 8.282 0.000
4.141 4.141 3.330
Be Ca Li
2 4 2
direct
0.000 0.000 0.000
0.750 0.250 0.500
0.662 0.125 0.250
0.088 0.625 0.250
0.375 0.338 0.750
0.875 0.912 0.750
0.500 0.500 0.000
0.250 0.750 0.500
```

The value obtained for the formation energy is 1.92 eV/f.u. Its space group is I-42d. As for the mass density: 1.4 Mg/m³.

(25)
# LiCa2Be

An optimized crystal structure of LiCa2Be (GGA-PBE, Alexandria).

```
LiCa2Be
1.0
-5.140 -1.147 2.593
-3.811 -2.740 -3.525
5.612 -0.913 1.457
Be Ca Li
1 2 1
direct
0.750 0.250 0.500
0.000 0.000 0.000
0.250 0.750 0.500
0.500 0.500 0.000
```

The value obtained for the formation energy is 1.49 eV/f.u. Its space group is I-4m2. As for the mass density: 1.6 Mg/m³.

(26)
# LiCa2Be

An optimized crystal structure of LiCa2Be (GGA-PBE, Alexandria).

```
LiCa2Be
1.0
-2.518 -4.136 1.978
3.964 -0.825 3.311
-1.639 2.198 2.509
Be Ca Li
1 2 1
direct
0.000 0.500 0.500
0.000 0.000 0.000
0.500 0.500 0.000
0.500 0.000 0.500
```

The value obtained for the formation energy is 1.02 eV/f.u. Its space group is P4/mmm. As for the mass density: 1.6 Mg/m³.

(27)
# LiCa2Be

An optimized crystal structure of LiCa2Be (GGA-PBE, Alexandria).

```
LiCa2Be
1.0
-0.391 -3.441 -0.671
2.710 -0.724 2.138
-5.180 -0.649 6.346
Be Ca Li
1 2 1
direct
0.500 0.500 0.700
0.000 0.000 0.929
0.500 0.500 0.302
0.000 0.000 0.570
```

The value obtained for the formation energy is 1.03 eV/f.u. Its space group is P4mm. As for the mass density: 1.6 Mg/m³.

(28)
# LiCa2Be

An optimized crystal structure of LiCa2Be (GGA-PBE, Alexandria).

```
LiCa2Be
1.0
6.387 0.006 -0.017
3.227 5.511 0.017
-4.222 -3.777 2.949
Be Ca Li
1 2 1
direct
0.269 0.769 0.500
0.045 0.045 0.000
0.746 0.246 0.500
0.440 0.440 0.000
```

The value obtained for the formation energy is 1.05 eV/f.u. Its space group is Imm2. As for the mass density: 1.5 Mg/m³.

(29)
# LiCa2Be

An optimized crystal structure of LiCa2Be (GGA-PBE, Alexandria).

```
LiCa2Be
1.0
4.578 0.000 0.000
0.000 4.133 0.004
0.000 2.062 5.670
Be Ca Li
1 2 1
direct
0.500 0.564 0.749
0.000 0.983 0.909
0.500 0.272 0.331
0.000 0.681 0.511
```

The value obtained for the formation energy is 0.98 eV/f.u. Its space group is Pm. As for the mass density: 1.5 Mg/m³.